<A>
! Pm7Pr3Dy2 PBE relaxed; values from VASP
! calculated density: 7.032 g/cm³
! spin magnetization: 0.0 μB/f.u.
&SYSTEM
  ibrav = 0, nat = 12, ntyp = 3
/
ATOMIC_SPECIES
Pm 145.00 Pm.upf
Pr 140.91 Pr.upf
Dy 162.50 Dy.upf
CELL_PARAMETERS angstrom
-0.8976 -3.3819 0.9787
3.8977 0.2700 4.5076
-14.4240 6.9181 10.6767
ATOMIC_POSITIONS crystal
Pm 0.5000 0.7434 0.4640
Pm 0.5000 0.2566 0.5360
Pm 0.0000 0.6888 0.1454
Pm 0.0000 0.0000 0.0000
Pm 0.0000 0.3112 0.8546
Pm 0.5000 0.8092 0.8204
Pm 0.5000 0.1908 0.1796
Pr 0.5000 0.5000 0.0000
Pr 0.0000 0.2221 0.3661
Pr 0.0000 0.7779 0.6339
Dy 0.5000 0.7130 0.2949
Dy 0.5000 0.2870 0.7051

---

<B>
! Pm7Pr3Dy2 PBE relaxed; values from VASP
! calculated density: 7.047 g/cm³
! spin magnetization: 0.0 μB/f.u.
&SYSTEM
  ibrav = 0, nat = 12, ntyp = 3
/
ATOMIC_SPECIES
Pm 145.00 Pm.upf
Pr 140.91 Pr.upf
Dy 162.50 Dy.upf
CELL_PARAMETERS angstrom
3.5949 0.0000 0.0000
0.0000 6.4485 0.7621
0.0000 2.4418 18.2060
ATOMIC_POSITIONS crystal
Pm 0.5000 0.2431 0.5018
Pm 0.5000 0.7569 0.4982
Pm 0.0000 0.5619 0.1680
Pm 0.0000 0.0000 0.0000
Pm 0.0000 0.4381 0.8320
Pm 0.5000 0.9453 0.8315
Pm 0.5000 0.0547 0.1685
Pr 0.5000 0.5000 0.0000
Pr 0.0000 0.1135 0.3388
Pr 0.0000 0.8865 0.6612
Dy 0.5000 0.6156 0.3292
Dy 0.5000 0.3844 0.6708

---

Winner for stability: <B>

---

<A>
! PmPr12Dy6 PBE relaxed; values from VASP
! calculated density: 6.964 g/cm³
! spin magnetization: 0.0 μB/f.u.
&SYSTEM
  ibrav = 0, nat = 19, ntyp = 3
/
ATOMIC_SPECIES
Pm 145.00 Pm.upf
Pr 140.91 Pr.upf
Dy 162.50 Dy.upf
CELL_PARAMETERS angstrom
-8.1031 2.8831 1.6257
-3.4504 -6.4794 -4.7674
-0.5928 -5.1236 7.0720
ATOMIC_POSITIONS crystal
Pm 0.0000 0.0000 0.0000
Pr 0.7818 0.5361 0.4326
Pr 0.4326 0.7818 0.5361
Pr 0.5361 0.4326 0.7818
Pr 0.2182 0.4639 0.5674
Pr 0.5674 0.2182 0.4639
Pr 0.4639 0.5674 0.2182
Pr 0.0178 0.1951 0.3631
Pr 0.8049 0.6369 0.9822
Pr 0.6369 0.9822 0.8049
Pr 0.9822 0.8049 0.6369
Pr 0.1951 0.3631 0.0178
Pr 0.3631 0.0178 0.1951
Dy 0.7415 0.9009 0.2976
Dy 0.7024 0.2585 0.0991
Dy 0.0991 0.7024 0.2585
Dy 0.2585 0.0991 0.7024
Dy 0.2976 0.7415 0.9009
Dy 0.9009 0.2976 0.7415

---

<B>
! PmPr12Dy6 PBE relaxed; values from VASP
! calculated density: 6.868 g/cm³
! spin magnetization: 0.0 μB/f.u.
&SYSTEM
  ibrav = 0, nat = 19, ntyp = 3
/
ATOMIC_SPECIES
Pm 145.00 Pm.upf
Pr 140.91 Pr.upf
Dy 162.50 Dy.upf
CELL_PARAMETERS angstrom
8.8350 -0.2227 -1.2721
-1.4366 8.7203 -1.2721
-0.1939 -0.2227 8.9240
ATOMIC_POSITIONS crystal
Pm 0.0000 0.0000 0.0000
Pr 0.7587 0.2413 0.5000
Pr 0.3525 0.0827 0.3525
Pr 0.3525 0.3525 0.0827
Pr 0.9173 0.6475 0.6475
Pr 0.6475 0.6475 0.9173
Pr 0.6475 0.9173 0.6475
Pr 0.5000 0.7587 0.2413
Pr 0.2413 0.5000 0.7587
Pr 0.2413 0.7587 0.5000
Pr 0.5000 0.2413 0.7587
Pr 0.7587 0.5000 0.2413
Pr 0.0827 0.3525 0.3525
Dy 0.9033 0.3359 0.9033
Dy 0.9033 0.9033 0.3359
Dy 0.3359 0.9033 0.9033
Dy 0.0967 0.0967 0.6641
Dy 0.0967 0.6641 0.0967
Dy 0.6641 0.0967 0.0967

---

Winner for stability: <A>

---

<A>
! Pm8Pr2Dy PBE relaxed; values from VASP
! calculated density: 6.755 g/cm³
! spin magnetization: 0.0 μB/f.u.
&SYSTEM
  ibrav = 0, nat = 11, ntyp = 3
/
ATOMIC_SPECIES
Pm 145.00 Pm.upf
Pr 140.91 Pr.upf
Dy 162.50 Dy.upf
CELL_PARAMETERS angstrom
5.7298 -0.4800 -0.3353
0.3451 9.9314 2.5922
0.3451 5.8517 8.4327
ATOMIC_POSITIONS crystal
Pm 0.2691 0.1365 0.6092
Pm 0.2691 0.6092 0.1365
Pm 0.7309 0.8635 0.3908
Pm 0.2344 0.5448 0.5448
Pm 0.7309 0.3908 0.8635
Pm 0.2284 0.1851 0.1851
Pm 0.7716 0.8149 0.8149
Pm 0.7657 0.4552 0.4552
Pr 0.7419 0.2836 0.2836
Pr 0.2581 0.7164 0.7164
Dy 0.0000 0.0000 0.0000

---

<B>
! Pm8Pr2Dy PBE relaxed; values from VASP
! calculated density: 7.034 g/cm³
! spin magnetization: 0.0 μB/f.u.
&SYSTEM
  ibrav = 0, nat = 11, ntyp = 3
/
ATOMIC_SPECIES
Pm 145.00 Pm.upf
Pr 140.91 Pr.upf
Dy 162.50 Dy.upf
CELL_PARAMETERS angstrom
4.9910 0.0000 -1.3292
-0.5361 7.9024 -2.0130
-0.1019 -0.0843 9.6524
ATOMIC_POSITIONS crystal
Pm 0.5898 0.4520 0.1797
Pm 0.3189 0.0909 0.6379
Pm 0.1352 0.1788 0.2704
Pm 0.0450 0.7286 0.0901
Pm 0.8648 0.8212 0.7296
Pm 0.6811 0.9091 0.3621
Pm 0.4102 0.5480 0.8203
Pm 0.9550 0.2714 0.9099
Pr 0.2269 0.6371 0.4537
Pr 0.7731 0.3629 0.5463
Dy 0.5000 0.0000 0.0000

---

Winner for stability: <B>

---

<A>
! PmPr7Dy4 PBE relaxed; values from VASP
! calculated density: 7.120 g/cm³
! spin magnetization: 0.0 μB/f.u.
&SYSTEM
  ibrav = 0, nat = 12, ntyp = 3
/
ATOMIC_SPECIES
Pm 145.00 Pm.upf
Pr 140.91 Pr.upf
Dy 162.50 Dy.upf
CELL_PARAMETERS angstrom
7.0641 1.8644 0.8857
5.2991 7.7969 2.4805
-1.0095 -0.4376 9.0169
ATOMIC_POSITIONS crystal
Pm 0.0000 0.0000 0.0000
Pr 0.7537 0.4998 0.0021
Pr 0.2463 0.5002 0.9979
Pr 0.9708 0.2810 0.6642
Pr 0.0292 0.7190 0.3358
Pr 0.2219 0.7777 0.6656
Pr 0.5000 0.0000 0.0000
Pr 0.7781 0.2223 0.3344
Dy 0.5317 0.7224 0.3331
Dy 0.4683 0.2776 0.6669
Dy 0.7182 0.7816 0.6648
Dy 0.2818 0.2184 0.3352

---

<B>
! PmPr7Dy4 PBE relaxed; values from VASP
! calculated density: 7.011 g/cm³
! spin magnetization: 0.1 μB/f.u.
&SYSTEM
  ibrav = 0, nat = 12, ntyp = 3
/
ATOMIC_SPECIES
Pm 145.00 Pm.upf
Pr 140.91 Pr.upf
Dy 162.50 Dy.upf
CELL_PARAMETERS angstrom
-2.9087 -5.2819 -0.7461
6.5861 -6.7178 -2.8576
2.7562 -5.8365 5.8341
ATOMIC_POSITIONS crystal
Pm 0.0000 0.0000 0.0000
Pr 0.7871 0.8840 0.5419
Pr 0.2129 0.1160 0.4581
Pr 0.0860 0.5498 0.2783
Pr 0.9140 0.4502 0.7217
Pr 0.2131 0.7615 0.8122
Pr 0.5000 0.0000 0.0000
Pr 0.7869 0.2385 0.1878
Dy 0.5705 0.3020 0.5570
Dy 0.4295 0.6980 0.4430
Dy 0.6696 0.6180 0.0428
Dy 0.3304 0.3820 0.9572

---

Winner for stability: <A>